Entry from Alexandria: a relaxed CaNbFeP2 crystal (GGA-PBE).

abc: 3.882 3.882 11.915
angles: 90.00 90.00 90.00
Space group I-4m2 (No. 119)
Unique sites:
Ca 0.000 0.000 0.000 (multiplicity 2)
Nb 0.000 0.500 0.750 (multiplicity 2)
Fe 0.000 0.500 0.250 (multiplicity 2)
P 0.000 0.000 0.374 (multiplicity 4)

## Properties
energy of formation from the pure elements = -70 kJ per mole of atoms
density = 4.6 g cm⁻³
N(E_F) = 2.86 states/eV/f.u.
volume = 179.6 Å³ per cell